# Cs2HoCoS4

A relaxed Cs2HoCoS4 crystal (PBE-GGA, Alexandria).

Unit cell a=14.939 b=13.364 c=7.916 alpha=85.10 beta=63.04 gamma=31.87
Atoms (fractional coordinates):
Cs  0.053  0.053  0.697
Cs  0.303  0.303  0.947
Cs  0.697  0.697  0.053
Cs  0.947  0.947  0.303
Ho  0.125  0.125  0.125
Ho  0.875  0.875  0.875
Co  0.375  0.375  0.375
Co  0.625  0.625  0.625
S  0.023  0.628  0.540
S  0.309  0.540  0.628
S  0.372  0.977  0.691
S  0.460  0.691  0.977
S  0.540  0.309  0.023
S  0.628  0.023  0.309
S  0.691  0.460  0.372
S  0.977  0.372  0.460

Calculated values
The calculation puts the density of states at the Fermi level at 5.0 states/eV/f.u. As for the total energy: -4.79 eV per atom. The uncorrected formation energy is -1.055 eV per atom.